The following is a DFT calculation (PBE) of a relaxed Rb3VCl7 crystal.

Cell lengths 9.926, 9.926, 6.964 Å; angles 90.00, 90.00, 90.00 degrees
Positions (direct):
1 Rb 0.000 0.000 0.000
2 Rb 0.179 0.321 0.500
3 Rb 0.321 0.821 0.500
4 Rb 0.500 0.500 0.000
5 Rb 0.679 0.179 0.500
6 Rb 0.821 0.679 0.500
7 V 0.000 0.500 0.000
8 V 0.500 0.000 0.000
9 Cl 0.000 0.000 0.500
10 Cl 0.116 0.616 0.237
11 Cl 0.116 0.616 0.763
12 Cl 0.166 0.334 0.000
13 Cl 0.334 0.834 0.000
14 Cl 0.384 0.116 0.237
15 Cl 0.384 0.116 0.763
16 Cl 0.500 0.500 0.500
17 Cl 0.616 0.884 0.237
18 Cl 0.616 0.884 0.763
19 Cl 0.666 0.166 0.000
20 Cl 0.834 0.666 0.000
21 Cl 0.884 0.384 0.237
22 Cl 0.884 0.384 0.763

Output
The value obtained for the raw formation energy is -1.589 eV/atom. As for the electronic total energy: -84.85 eV for the cell shown.